(1)
Material: Pr6Nd3Sm2Er
Method: DFT, GGA-PBE
State: relaxed

## Properties
Formation energy from the elements in meV/atom: 13

Cell lengths 6.377, 6.377, 12.145 Å; angles 95.02, 95.02, 120.00 degrees
Fractional coordinates of all 12 atoms:
Nd (0.166, 0.834, 0.500)
Nd (0.834, 0.166, 0.500)
Nd (0.500, 0.500, 0.500)
Pr (0.750, 0.750, 0.248)
Pr (0.917, 0.585, 0.753)
Pr (0.585, 0.917, 0.753)
Pr (0.415, 0.083, 0.247)
Pr (0.250, 0.250, 0.752)
Pr (0.083, 0.415, 0.247)
Er (0.000, 0.000, 0.000)
Sm (0.333, 0.667, 0.000)
Sm (0.667, 0.333, 0.000)

***

(2)
Material: Ho2Ga3CoNi12
Method: DFT, GGA-PBE
State: relaxed

## Properties
Formation energy from the elements in meV/atom: 25

Cell lengths 9.070, 9.070, 9.070 Å; angles 38.88, 38.88, 38.88 degrees
Fractional coordinates of all 18 atoms:
Ni (0.581, 0.188, 0.581)
Ni (0.581, 0.581, 0.188)
Ni (0.924, 0.924, 0.355)
Ni (0.419, 0.812, 0.419)
Ni (0.812, 0.419, 0.419)
Ni (0.924, 0.355, 0.924)
Ni (0.076, 0.076, 0.645)
Ni (0.188, 0.581, 0.581)
Ni (0.355, 0.924, 0.924)
Ni (0.645, 0.076, 0.076)
Ni (0.076, 0.645, 0.076)
Ni (0.419, 0.419, 0.812)
Co (0.000, 0.000, 0.000)
Ho (0.651, 0.651, 0.651)
Ho (0.349, 0.349, 0.349)
Ga (0.000, 0.000, 0.500)
Ga (0.000, 0.500, 0.000)
Ga (0.500, 0.000, 0.000)

***

(3)
Material: Rb2InSe4
Method: DFT, GGA-PBE
State: relaxed

## Properties
Formation energy without anion corrections in eV per atom: -0.409

Cell lengths 5.536, 5.536, 9.392 Å; angles 72.86, 72.86, 90.00 degrees
Fractional coordinates of all 7 atoms:
Se (0.500, 0.000, 0.000)
Se (0.153, 0.153, 0.694)
Se (0.000, 0.500, 0.000)
Se (0.847, 0.847, 0.306)
Rb (0.361, 0.361, 0.277)
Rb (0.639, 0.639, 0.723)
In (0.000, 0.000, 0.000)

***

no.,E_tot (eV/atom)
1,-4.74
2,-5.24
3,-3.07